Density functional theory data (PBE) for crystalline TbPuBiN at its relaxed geometry.

Computed properties:
Total magnetic moment ... 9.94 μB/cell
SG ... P4/nmm
E_form (uncorrected) ... -1.03 eV/atom

a = 4.6183 Å, b = 4.6183 Å, c = 8.9857 Å
α = 90.00°, β = 90.00°, γ = 90.00°
Closest atoms and distances in Å follow each position.
Positions (direct):
Tb 0.2500 0.7500 0.0000  4 N 2.42
Tb 0.7500 0.2500 0.0000  4 N 2.42
Pu 0.2500 0.2500 0.3213  1 N 2.15
Pu 0.7500 0.7500 0.6787  1 N 2.15
Bi 0.2500 0.2500 0.6918  5 Pu 3.27-3.33, 1 N 3.51, 4 Tb 3.61
Bi 0.7500 0.7500 0.3082  5 Pu 3.27-3.33, 1 N 3.51, 4 Tb 3.61
N 0.2500 0.2500 0.0819  1 Pu 2.15
N 0.7500 0.7500 0.9181  1 Pu 2.15